i | Here is an optimized crystal structure of HfTi2Cl from Alexandria. Energies are from PBE-GGA.

Its density of states at the Fermi level is 22.6 states/eV/cell.

It has space group I-42d (No. 122), with a = 7.578 Å, b = 7.578 Å, c = 5.134 Å, α = 90.00°, β = 90.00° and γ = 90.00°. The distinct sites, in fractional coordinates, are Hf at (0.000, 0.000, 0.000), Ti at (0.166, 0.250, 0.625) and Cl at (0.000, 0.000, 0.500).

ii | Here is an optimized crystal structure of HfTi2Cl from Alexandria. Energies are from PBE-GGA.

Its density of states at the Fermi level is 24.1 states/eV/cell.

It has space group Fm-3m (No. 225), with a = 6.618 Å, b = 6.618 Å, c = 6.618 Å, α = 90.00°, β = 90.00° and γ = 90.00°. The distinct sites, in fractional coordinates, are Hf at (0.000, 0.000, 0.000), Ti at (0.250, 0.250, 0.250) and Cl at (0.000, 0.000, 0.500).

Most stable: i (next structure +0.495 eV/atom)

i | Here is an optimized crystal structure of Hf3TiCl from Alexandria. Energies are from PBE-GGA.

Its density of states at the Fermi level is 8.3 states/eV/cell.

It has space group Pm-3m (No. 221), with a = 5.018 Å, b = 5.018 Å, c = 5.018 Å, α = 90.00°, β = 90.00° and γ = 90.00°. The distinct sites, in fractional coordinates, are Hf at (0.000, 0.000, 0.500), Ti at (0.000, 0.000, 0.000) and Cl at (0.500, 0.500, 0.500).

ii | Here is an optimized crystal structure of Hf3TiCl from Alexandria. Energies are from PBE-GGA.

Its density of states at the Fermi level is 3.6 states/eV/cell.

It has space group Pm-3m (No. 221), with a = 4.720 Å, b = 4.720 Å, c = 4.720 Å, α = 90.00°, β = 90.00° and γ = 90.00°. The distinct sites, in fractional coordinates, are Hf at (0.000, 0.000, 0.500), Ti at (0.500, 0.500, 0.500) and Cl at (0.000, 0.000, 0.000).

Most stable: ii (next structure +0.850 eV/atom)

i | Here is an optimized crystal structure of HfTl2Cl6 from Alexandria. Energies are from PBE-GGA.

Its density of states at the Fermi level is 0.0 states/eV/cell.

It has space group P2_1/c (No. 14), with a = 7.210 Å, b = 8.028 Å, c = 12.201 Å, α = 90.00°, β = 124.36° and γ = 90.00°. The distinct sites, in fractional coordinates, are Hf at (0.000, 0.000, 0.000), Tl at (0.268, 0.082, 0.748), Cl at (0.156, 0.023, 0.238), Cl at (0.212, 0.740, 0.042) and Cl at (0.319, 0.164, 0.036).

ii | Here is an optimized crystal structure of HfTl2Cl6 from Alexandria. Energies are from PBE-GGA.

Its density of states at the Fermi level is 0.0 states/eV/cell.

It has space group P4_2/mnm (No. 136), with a = 6.975 Å, b = 6.975 Å, c = 13.251 Å, α = 90.00°, β = 90.00° and γ = 90.00°. The distinct sites, in fractional coordinates, are Hf at (0.000, 0.000, 0.000), Tl at (0.000, 0.000, 0.334), Cl at (0.175, 0.175, 0.134) and Cl at (0.249, 0.751, 0.000).

Most stable: i (next structure +0.028 eV/atom)

i | Here is an optimized crystal structure of HfTlCl3 from Alexandria. Energies are from PBE-GGA.

Its density of states at the Fermi level is 10.4 states/eV/cell.

It has space group Pm-3m (No. 221), with a = 5.506 Å, b = 5.506 Å, c = 5.506 Å, α = 90.00°, β = 90.00° and γ = 90.00°. The distinct sites, in fractional coordinates, are Hf at (0.000, 0.000, 0.000), Tl at (0.500, 0.500, 0.500) and Cl at (0.000, 0.500, 0.500).

ii | Here is an optimized crystal structure of HfTlCl3 from Alexandria. Energies are from PBE-GGA.

Its density of states at the Fermi level is 3.8 states/eV/cell.

It has space group Pm-3m (No. 221), with a = 5.052 Å, b = 5.052 Å, c = 5.052 Å, α = 90.00°, β = 90.00° and γ = 90.00°. The distinct sites, in fractional coordinates, are Hf at (0.000, 0.000, 0.000), Tl at (0.500, 0.500, 0.500) and Cl at (0.000, 0.000, 0.500).

Most stable: ii (next structure +1.340 eV/atom)

i | Here is an optimized crystal structure of Hf2TlCl from Alexandria. Energies are from PBE-GGA.

Its density of states at the Fermi level is 16.9 states/eV/cell.

It has space group Fm-3m (No. 225), with a = 6.941 Å, b = 6.941 Å, c = 6.941 Å, α = 90.00°, β = 90.00° and γ = 90.00°. The distinct sites, in fractional coordinates, are Hf at (0.250, 0.250, 0.250), Tl at (0.000, 0.000, 0.000) and Cl at (0.000, 0.000, 0.500).

ii | Here is an optimized crystal structure of Hf2TlCl from Alexandria. Energies are from PBE-GGA.

Its density of states at the Fermi level is 5.6 states/eV/cell.

It has space group I-42d (No. 122), with a = 4.283 Å, b = 4.283 Å, c = 20.887 Å, α = 90.00°, β = 90.00° and γ = 90.00°. The distinct sites, in fractional coordinates, are Hf at (0.245, 0.250, 0.125), Tl at (0.000, 0.000, 0.000) and Cl at (0.000, 0.000, 0.500).

Most stable: i (next structure +0.209 eV/atom)

i | Here is an optimized crystal structure of Hf3VCl from Alexandria. Energies are from PBE-GGA.

Its density of states at the Fermi level is 4.6 states/eV/cell.

It has space group Pm-3m (No. 221), with a = 4.707 Å, b = 4.707 Å, c = 4.707 Å, α = 90.00°, β = 90.00° and γ = 90.00°. The distinct sites, in fractional coordinates, are Hf at (0.000, 0.000, 0.500), V at (0.500, 0.500, 0.500) and Cl at (0.000, 0.000, 0.000).

ii | Here is an optimized crystal structure of Hf3VCl from Alexandria. Energies are from PBE-GGA.

Its density of states at the Fermi level is 8.6 states/eV/cell.

It has space group Pm-3m (No. 221), with a = 4.939 Å, b = 4.939 Å, c = 4.939 Å, α = 90.00°, β = 90.00° and γ = 90.00°. The distinct sites, in fractional coordinates, are Hf at (0.000, 0.000, 0.500), V at (0.000, 0.000, 0.000) and Cl at (0.500, 0.500, 0.500).

Most stable: i (next structure +0.470 eV/atom)

i | Here is an optimized crystal structure of HfVCl2 from Alexandria. Energies are from PBE-GGA.

Its density of states at the Fermi level is 13.8 states/eV/cell.

It has space group I-42d (No. 122), with a = 4.296 Å, b = 4.296 Å, c = 16.511 Å, α = 90.00°, β = 90.00° and γ = 90.00°. The distinct sites, in fractional coordinates, are Hf at (0.000, 0.000, 0.000), V at (0.000, 0.000, 0.500) and Cl at (0.245, 0.250, 0.625).

ii | Here is an optimized crystal structure of HfVCl2 from Alexandria. Energies are from PBE-GGA.

Its density of states at the Fermi level is 10.0 states/eV/cell.

It has space group R-3m (No. 166, hexagonal axes), with a = 3.1985 Å, b = 3.1985 Å, c = 26.1297 Å, α = 90.00°, β = 90.00° and γ = 120.00°. The distinct sites, in fractional coordinates, are Hf at (0.0000, 0.0000, 0.0000), V at (0.0000, 0.0000, 0.5000) and Cl at (0.0000, 0.0000, 0.4054).

Most stable: ii (next structure +0.187 eV/atom)

i | Here is an optimized crystal structure of HfVCl3 from Alexandria. Energies are from PBE-GGA.

Its density of states at the Fermi level is 8.5 states/eV/cell.

It has space group Pm-3m (No. 221), with a = 4.970 Å, b = 4.970 Å, c = 4.970 Å, α = 90.00°, β = 90.00° and γ = 90.00°. The distinct sites, in fractional coordinates, are Hf at (0.000, 0.000, 0.000), V at (0.500, 0.500, 0.500) and Cl at (0.000, 0.000, 0.500).

ii | Here is an optimized crystal structure of HfVCl3 from Alexandria. Energies are from PBE-GGA.

Its density of states at the Fermi level is 6.4 states/eV/cell.

It has space group Pm-3m (No. 221), with a = 4.861 Å, b = 4.861 Å, c = 4.861 Å, α = 90.00°, β = 90.00° and γ = 90.00°. The distinct sites, in fractional coordinates, are Hf at (0.000, 0.000, 0.000), V at (0.500, 0.500, 0.500) and Cl at (0.000, 0.500, 0.500).

Most stable: i (next structure +0.251 eV/atom)

i | Here is an optimized crystal structure of HfV2Cl from Alexandria. Energies are from PBE-GGA.

Its density of states at the Fermi level is 17.6 states/eV/cell.

It has space group I-42d (No. 122), with a = 7.294 Å, b = 7.294 Å, c = 4.976 Å, α = 90.00°, β = 90.00° and γ = 90.00°. The distinct sites, in fractional coordinates, are Hf at (0.000, 0.000, 0.000), V at (0.164, 0.250, 0.625) and Cl at (0.000, 0.000, 0.500).

ii | Here is an optimized crystal structure of HfV2Cl from Alexandria. Energies are from PBE-GGA.

Its density of states at the Fermi level is 22.8 states/eV/cell.

It has space group Fm-3m (No. 225), with a = 6.363 Å, b = 6.363 Å, c = 6.363 Å, α = 90.00°, β = 90.00° and γ = 90.00°. The distinct sites, in fractional coordinates, are Hf at (0.000, 0.000, 0.000), V at (0.250, 0.250, 0.250) and Cl at (0.000, 0.000, 0.500).

Most stable: i (next structure +0.478 eV/atom)

i | Here is an optimized crystal structure of HfWCl2 from Alexandria. Energies are from PBE-GGA.

Its density of states at the Fermi level is 9.0 states/eV/cell.

It has space group R-3m (No. 166, hexagonal axes), with a = 3.0524 Å, b = 3.0524 Å, c = 26.2705 Å, α = 90.00°, β = 90.00° and γ = 120.00°. The distinct sites, in fractional coordinates, are Hf at (0.0000, 0.0000, 0.0000), W at (0.0000, 0.0000, 0.5000) and Cl at (0.0000, 0.0000, 0.4069).

ii | Here is an optimized crystal structure of HfWCl2 from Alexandria. Energies are from PBE-GGA.

Its density of states at the Fermi level is 10.9 states/eV/cell.

It has space group I-42d (No. 122), with a = 4.215 Å, b = 4.215 Å, c = 16.707 Å, α = 90.00°, β = 90.00° and γ = 90.00°. The distinct sites, in fractional coordinates, are Hf at (0.000, 0.000, 0.000), W at (0.000, 0.000, 0.500) and Cl at (0.240, 0.250, 0.625).

iii | Here is an optimized crystal structure of HfWCl2 from Alexandria. Energies are from PBE-GGA.

Its density of states at the Fermi level is 18.1 states/eV/cell.

It has space group Fm-3m (No. 225), with a = 6.475 Å, b = 6.475 Å, c = 6.475 Å, α = 90.00°, β = 90.00° and γ = 90.00°. The distinct sites, in fractional coordinates, are Hf at (0.000, 0.000, 0.000), W at (0.000, 0.000, 0.500) and Cl at (0.250, 0.250, 0.250).

Most stable: i (next structure +0.274 eV/atom)

i | Here is an optimized crystal structure of HfW2Cl2 from Alexandria. Energies are from PBE-GGA.

Its density of states at the Fermi level is 5.7 states/eV/cell.

It has space group I4/mmm (No. 139), with a = 4.277 Å, b = 4.277 Å, c = 9.769 Å, α = 90.00°, β = 90.00° and γ = 90.00°. The distinct sites, in fractional coordinates, are Hf at (0.000, 0.000, 0.000), W at (0.000, 0.500, 0.250) and Cl at (0.000, 0.000, 0.364).

ii | Here is an optimized crystal structure of HfW2Cl2 from Alexandria. Energies are from PBE-GGA.

Its density of states at the Fermi level is 6.6 states/eV/cell.

It has space group P4/mbm (No. 127), with a = 7.832 Å, b = 7.832 Å, c = 2.921 Å, α = 90.00°, β = 90.00° and γ = 90.00°. The distinct sites, in fractional coordinates, are Hf at (0.000, 0.000, 0.000), W at (0.117, 0.383, 0.500) and Cl at (0.209, 0.709, 0.000).

Most stable: ii (next structure +0.114 eV/atom)

i | Here is an optimized crystal structure of Hf2WCl from Alexandria. Energies are from PBE-GGA.

Its density of states at the Fermi level is 12.3 states/eV/cell.

It has space group I-42d (No. 122), with a = 5.183 Å, b = 5.183 Å, c = 14.840 Å, α = 90.00°, β = 90.00° and γ = 90.00°. The distinct sites, in fractional coordinates, are Hf at (0.234, 0.250, 0.125), W at (0.000, 0.000, 0.000) and Cl at (0.000, 0.000, 0.500).

ii | Here is an optimized crystal structure of Hf2WCl from Alexandria. Energies are from PBE-GGA.

Its density of states at the Fermi level is 16.0 states/eV/cell.

It has space group Fm-3m (No. 225), with a = 6.753 Å, b = 6.753 Å, c = 6.753 Å, α = 90.00°, β = 90.00° and γ = 90.00°. The distinct sites, in fractional coordinates, are Hf at (0.250, 0.250, 0.250), W at (0.000, 0.000, 0.000) and Cl at (0.000, 0.000, 0.500).

Most stable: ii (next structure +0.532 eV/atom)